Entry from Alexandria via LeMat-Bulk: an optimized crystal structure of HfInAu2 (PBE-GGA).

Summary:
- energy of formation from the pure elements (meV per atom) = -287
- calculated volume (Å³ per atom) = 19.8
- D(E_F) (states/eV/f.u.) = 2.341
- DFT total energy (eV per atom) = -5.099
- space-group type = No. 123

a = 4.4591 Å, b = 4.4591 Å, c = 3.9853 Å
α = 90.00°, β = 90.00°, γ = 90.00°
Fractional coordinates of all 4 atoms:
Hf (0.0000, 0.0000, 0.0000)
In (0.5000, 0.5000, 0.0000)
Au (0.0000, 0.5000, 0.5000)
Au (0.5000, 0.0000, 0.5000)